VASP calculation (PBE-GGA) on crystalline CoGe2 at its relaxed geometry.

Cell and atoms, written as POSCAR:
```
CoGe2
1.0
0.000 3.666 3.666
3.666 0.000 3.666
3.666 3.666 0.000
Co Ge
2 4
Cartesian
1.833 1.833 1.833
0.000 0.000 0.000
2.750 4.583 2.750
4.583 2.750 2.750
2.750 2.750 4.583
4.583 4.583 4.583
```

Results
VASP energy: -4.59 eV per atom



VASP calculation (PBE-GGA) on crystalline Pr2Co3Si5 at its relaxed geometry.

Cell and atoms, written as POSCAR:
```
Pr2Co3Si5
1.0
5.518 -5.800 0.000
5.518 5.800 0.000
-2.749 0.000 4.915
Si Co Pr
10 6 4
Cartesian
8.388 -1.182 1.681
3.456 3.242 3.686
3.456 -3.089 3.686
7.013 1.182 4.139
1.273 -1.182 0.776
4.830 -3.242 1.229
3.456 -0.102 3.686
4.830 3.089 1.229
4.830 0.102 1.229
-0.102 1.182 3.233
4.929 1.582 3.065
4.830 -5.753 1.229
3.456 5.753 3.686
3.357 -1.582 1.849
6.303 -1.582 0.608
1.983 1.582 4.307
2.196 1.543 1.292
6.090 -1.543 3.622
7.465 1.543 1.165
0.821 -1.543 3.750
```

Results
VASP energy: -6.50 eV per atom



VASP calculation (PBE-GGA) on crystalline Er4GeC2S at its relaxed geometry.

Cell and atoms, written as POSCAR:
```
Er4GeC2S
1.0
3.615 0.000 0.000
-1.808 3.131 0.000
0.000 0.000 13.781
Ge C Er S
1 2 4 1
Cartesian
0.000 0.000 6.890
1.808 1.044 10.565
1.808 1.044 3.215
0.000 2.087 4.538
0.000 0.000 11.901
0.000 2.087 9.243
0.000 0.000 1.880
0.000 2.087 0.000
```

Results
VASP energy: -6.57 eV per atom